(1)
The following is a DFT calculation (GGA-PBE) of ZnSn6Rh12 after structural relaxation.

a = 7.2754 Å, b = 7.2754 Å, c = 7.2754 Å
α = 106.67°, β = 106.67°, γ = 106.67°
Closest atoms and distances in Å follow each position.
Fractional positions:
Rh  0.8741  0.7263  0.1521  1 Zn 2.61, 5 Rh 2.72-2.87, 4 Sn 2.73-2.84
Sn  0.9095  0.5353  0.7893  8 Rh 2.65-2.87
Rh  0.1825  0.4883  0.6041  4 Sn 2.65-2.87, 6 Rh 2.72-2.83
Sn  0.7893  0.9095  0.5353  8 Rh 2.65-2.87
Sn  0.4647  0.2107  0.0905  8 Rh 2.65-2.87
Sn  0.2107  0.0905  0.4647  8 Rh 2.65-2.87
Rh  0.1521  0.8741  0.7263  1 Zn 2.61, 5 Rh 2.72-2.87, 4 Sn 2.73-2.84
Rh  0.1259  0.2737  0.8479  1 Zn 2.61, 5 Rh 2.72-2.87, 4 Sn 2.73-2.84
Rh  0.6041  0.1825  0.4883  4 Sn 2.65-2.87, 6 Rh 2.72-2.83
Rh  0.8479  0.1259  0.2737  1 Zn 2.61, 5 Rh 2.72-2.87, 4 Sn 2.73-2.84
Sn  0.5353  0.7893  0.9095  8 Rh 2.65-2.87
Rh  0.8175  0.5117  0.3959  4 Sn 2.65-2.87, 6 Rh 2.72-2.83
Zn  0.0000  0.0000  0.0000  6 Rh 2.61
Rh  0.5117  0.3959  0.8175  4 Sn 2.65-2.87, 6 Rh 2.72-2.83
Sn  0.0905  0.4647  0.2107  8 Rh 2.65-2.87
Rh  0.4883  0.6041  0.1825  4 Sn 2.65-2.87, 6 Rh 2.72-2.83
Rh  0.7263  0.1521  0.8741  1 Zn 2.61, 5 Rh 2.72-2.87, 4 Sn 2.73-2.84
Rh  0.2737  0.8479  0.1259  1 Zn 2.61, 5 Rh 2.72-2.87, 4 Sn 2.73-2.84
Rh  0.3959  0.8175  0.5117  4 Sn 2.65-2.87, 6 Rh 2.72-2.83

Values from the calculation:
- Total moment: 0.00 μB/atom
- Formation enthalpy at 0 K: -0.236 eV per atom
- Energy: -6.21 eV/atom

(2)
The following is a DFT calculation (GGA-PBE) of ZnSn2Rh2 after structural relaxation.

a = 4.1506 Å, b = 4.1506 Å, c = 6.5927 Å
α = 71.65°, β = 71.65°, γ = 90.00°
Closest atoms and distances in Å follow each position.
Fractional positions:
Sn  0.2500  0.7500  0.5000  4 Rh 2.66, 4 Sn 2.93
Rh  0.3913  0.3913  0.2174  1 Rh 2.57, 4 Sn 2.66
Zn  0.0000  0.0000  0.0000  8 Rh 3.20
Rh  0.6087  0.6087  0.7826  1 Rh 2.57, 4 Sn 2.66
Sn  0.7500  0.2500  0.5000  4 Rh 2.66, 4 Sn 2.93

Values from the calculation:
- Total moment: 0.00 μB/atom
- Formation enthalpy at 0 K: 0.026 eV per atom
- E above lowest polymorph: 388 meV per atom
- Energy: -4.77 eV/atom

(3)
The following is a DFT calculation (GGA-PBE) of ZnSn2Rh after structural relaxation.

a = 8.8206 Å, b = 8.8206 Å, c = 6.7088 Å
α = 48.90°, β = 48.90°, γ = 90.00°
Closest atoms and distances in Å follow each position.
Fractional positions:
Sn  0.0198  0.6250  0.2500  2 Rh 2.62
Sn  0.8750  0.9802  0.7500  2 Rh 2.62
Zn  0.2500  0.7500  0.5000  2 Rh 2.47
Sn  0.7302  0.1250  0.2500  2 Rh 2.62
Rh  0.7500  0.2500  0.5000  2 Zn 2.47, 4 Sn 2.62
Sn  0.3750  0.2698  0.7500  2 Rh 2.62
Rh  0.0000  0.0000  0.0000  2 Zn 2.47, 4 Sn 2.62
Zn  0.5000  0.5000  0.0000  2 Rh 2.47

Values from the calculation:
- Total moment: 0.00 μB/atom
- Formation enthalpy at 0 K: -0.087 eV per atom
- Energy: -4.24 eV/atom

(4)
The following is a DFT calculation (GGA-PBE) of Zn4SnRh after structural relaxation.

a = 5.1029 Å, b = 5.1029 Å, c = 5.1029 Å
α = 60.00°, β = 60.00°, γ = 60.00°
Closest atoms and distances in Å follow each position.
Fractional positions:
Zn  0.6260  0.6260  0.1221  6 Zn 2.53-2.57
Zn  0.6260  0.6260  0.6260  6 Zn 2.53-2.57
Sn  0.2500  0.2500  0.2500  12 Zn 2.99, 4 Rh 3.12
Zn  0.6260  0.1221  0.6260  6 Zn 2.53-2.57
Rh  0.0000  0.0000  0.0000  12 Zn 2.99, 4 Sn 3.12
Zn  0.1221  0.6260  0.6260  6 Zn 2.53-2.57

Values from the calculation:
- Total moment: 0.00 μB/atom
- Formation enthalpy at 0 K: -0.059 eV per atom
- Energy: -2.80 eV/atom

(5)
The following is a DFT calculation (GGA-PBE) of ZnSnRh4 after structural relaxation.

a = 4.1826 Å, b = 4.1855 Å, c = 5.9812 Å
α = 89.92°, β = 89.95°, γ = 90.00°
Closest atoms and distances in Å follow each position.
Fractional positions:
Sn  0.5013  0.4973  0.9981  8 Rh 2.63
Rh  0.0010  0.4977  0.2637  2 Zn 2.52, 2 Sn 2.63, 1 Rh 2.80
Rh  0.5016  0.9968  0.2634  2 Zn 2.52, 2 Sn 2.63, 1 Rh 2.81
Zn  0.0013  0.9973  0.4981  8 Rh 2.52
Rh  0.5010  0.9977  0.7328  2 Zn 2.52, 2 Sn 2.63, 1 Rh 2.81
Rh  0.0016  0.4968  0.7326  2 Zn 2.52, 2 Sn 2.63, 1 Rh 2.80

Values from the calculation:
- Total moment: 0.00 μB/atom
- Formation enthalpy at 0 K: 0.113 eV per atom
- Energy: -5.67 eV/atom

(6)
The following is a DFT calculation (GGA-PBE) of ZnSnRh after structural relaxation.

a = 2.8566 Å, b = 2.8566 Å, c = 7.7250 Å
α = 100.65°, β = 100.65°, γ = 90.00°
Closest atoms and distances in Å follow each position.
Fractional positions:
Sn  0.1208  0.1208  0.2417  1 Rh 2.59, 4 Sn 2.86
Zn  0.7823  0.7823  0.5645  1 Rh 2.45
Rh  0.9469  0.9469  0.8938  1 Zn 2.45, 1 Sn 2.59

Values from the calculation:
- Total moment: 0.08 μB/atom
- Formation enthalpy at 0 K: 0.476 eV per atom
- Energy: -3.73 eV/atom

(7)
The following is a DFT calculation (GGA-PBE) of Zn5SnRh6 after structural relaxation.

a = 4.3206 Å, b = 6.1363 Å, c = 6.8336 Å
α = 90.00°, β = 108.45°, γ = 90.00°
Closest atoms and distances in Å follow each position.
Fractional positions:
Rh  0.1683  0.2545  0.3362  7 Zn 2.61-2.67, 1 Sn 2.68
Zn  0.3290  0.0000  0.6583  8 Rh 2.61-2.71
Zn  0.3340  0.5000  0.6684  8 Rh 2.62-2.63
Zn  0.6710  0.0000  0.3417  8 Rh 2.61-2.71
Rh  0.5000  0.7452  0.0000  6 Zn 2.62-2.71, 2 Sn 2.67
Zn  0.0000  0.5000  0.0000  8 Rh 2.63-2.65
Zn  0.6660  0.5000  0.3316  8 Rh 2.62-2.63
Rh  0.5000  0.2548  0.0000  6 Zn 2.62-2.71, 2 Sn 2.67
Rh  0.8317  0.7455  0.6638  7 Zn 2.61-2.67, 1 Sn 2.68
Sn  0.0000  0.0000  0.0000  8 Rh 2.67-2.68
Rh  0.1683  0.7455  0.3362  7 Zn 2.61-2.67, 1 Sn 2.68
Rh  0.8317  0.2545  0.6638  7 Zn 2.61-2.67, 1 Sn 2.68

Values from the calculation:
- Total moment: 0.00 μB/atom
- Formation enthalpy at 0 K: -0.452 eV per atom
- Energy: -4.99 eV/atom

(8)
The following is a DFT calculation (GGA-PBE) of ZnSn2Rh after structural relaxation.

a = 3.3707 Å, b = 3.3707 Å, c = 9.1815 Å
α = 79.42°, β = 79.42°, γ = 60.00°
Closest atoms and distances in Å follow each position.
Fractional positions:
Zn  0.0000  0.0000  0.0000  2 Sn 2.62
Sn  0.0971  0.0971  0.7086  1 Zn 2.62, 3 Rh 2.70
Sn  0.9029  0.9029  0.2914  1 Zn 2.62, 3 Rh 2.70
Rh  0.5000  0.5000  0.5000  6 Sn 2.70

Values from the calculation:
- Total moment: 0.00 μB/atom
- Formation enthalpy at 0 K: -0.093 eV per atom
- Energy: -4.25 eV/atom

(9)
The following is a DFT calculation (GGA-PBE) of ZnSn2Rh2 after structural relaxation.

a = 7.0735 Å, b = 7.0735 Å, c = 3.5800 Å
α = 90.00°, β = 90.00°, γ = 90.00°
Closest atoms and distances in Å follow each position.
Fractional positions:
Rh  0.8516  0.6484  0.0000  6 Sn 2.67-2.79, 2 Zn 2.70, 1 Rh 2.97
Sn  0.1535  0.6535  0.5000  6 Rh 2.67-2.79
Zn  0.0000  0.0000  0.0000  4 Rh 2.70
Sn  0.6535  0.8465  0.5000  6 Rh 2.67-2.79
Sn  0.8465  0.3465  0.5000  6 Rh 2.67-2.79
Rh  0.3516  0.8516  0.0000  6 Sn 2.67-2.79, 2 Zn 2.70, 1 Rh 2.97
Rh  0.1484  0.3516  0.0000  6 Sn 2.67-2.79, 2 Zn 2.70, 1 Rh 2.97
Sn  0.3465  0.1535  0.5000  6 Rh 2.67-2.79
Zn  0.5000  0.5000  0.0000  4 Rh 2.70
Rh  0.6484  0.1484  0.0000  6 Sn 2.67-2.79, 2 Zn 2.70, 1 Rh 2.97

Values from the calculation:
- Total moment: 0.00 μB/atom
- Formation enthalpy at 0 K: -0.362 eV per atom
- E above lowest polymorph: 0 meV per atom
- Energy: -5.16 eV/atom

(10)
The following is a DFT calculation (GGA-PBE) of ZnSnRh after structural relaxation.

a = 3.1446 Å, b = 4.3788 Å, c = 4.3788 Å
α = 120.00°, β = 90.00°, γ = 90.00°
Closest atoms and distances in Å follow each position.
Fractional positions:
Zn  0.1673  0.0000  0.0000  3 Rh 2.53
Rh  0.1660  0.3333  0.6667  3 Zn 2.53
Sn  0.6667  0.6667  0.3333  6 Rh 2.98, 6 Zn 2.98, 2 Sn 3.14

Values from the calculation:
- Total moment: 0.00 μB/atom
- Formation enthalpy at 0 K: -0.133 eV per atom
- Energy: -4.34 eV/atom

(11)
The following is a DFT calculation (GGA-PBE) of ZnSn2Rh4 after structural relaxation.

a = 5.3719 Å, b = 5.3719 Å, c = 5.3719 Å
α = 107.43°, β = 110.50°, γ = 110.50°
Closest atoms and distances in Å follow each position.
Fractional positions:
Zn  0.0000  0.0000  0.0000  8 Rh 2.69
Rh  0.0000  0.5000  0.0000  4 Sn 2.69, 2 Zn 2.69
Rh  0.5000  0.0000  0.0000  4 Sn 2.69, 2 Zn 2.69
Rh  0.0000  0.0000  0.5000  4 Sn 2.69, 2 Zn 2.69
Sn  0.5000  0.0000  0.5000  8 Rh 2.69
Sn  0.5000  0.5000  0.0000  8 Rh 2.69
Rh  0.5000  0.5000  0.5000  2 Zn 2.69, 4 Sn 2.69

Values from the calculation:
- Total moment: 0.00 μB/atom
- Formation enthalpy at 0 K: -0.253 eV per atom
- Energy: -5.78 eV/atom

(12)
The following is a DFT calculation (GGA-PBE) of ZnSnRh after structural relaxation.

a = 3.1904 Å, b = 3.1904 Å, c = 10.6707 Å
α = 98.60°, β = 98.60°, γ = 90.00°
Closest atoms and distances in Å follow each position.
Fractional positions:
Sn  0.4303  0.4303  0.8606  4 Rh 2.75, 1 Sn 2.91, 1 Zn 3.06
Rh  0.1453  0.1453  0.2907  5 Zn 2.70-2.88, 4 Sn 2.75
Sn  0.5697  0.5697  0.1394  4 Rh 2.75, 1 Sn 2.91, 1 Zn 3.06
Zn  0.7164  0.7164  0.4327  4 Zn 2.66, 5 Rh 2.70-2.88
Rh  0.8547  0.8547  0.7093  5 Zn 2.70-2.88, 4 Sn 2.75
Zn  0.2836  0.2836  0.5673  4 Zn 2.66, 5 Rh 2.70-2.88

Values from the calculation:
- Total moment: 0.00 μB/atom
- Formation enthalpy at 0 K: -0.305 eV per atom
- Energy: -4.51 eV/atom